# PBE with a Hubbard U Na4TiCr3O8, relaxed
# total energy: -6.739 eV per atom
# magnetic moment: 8.05 μB/f.u.
data_Na4TiCr3O8
_chemical_formula_sum 'Na12 Ti3 Cr9 O24'
_cell_length_a 6.0851
_cell_length_b 6.0851
_cell_length_c 16.2058
_cell_angle_alpha 90.00
_cell_angle_beta 90.00
_cell_angle_gamma 120.00
_symmetry_space_group_name_H-M 'R -3 m'
_symmetry_Int_Tables_number 166
_symmetry_space_group_name_Hall '-R 3 2"'
loop_
_atom_site_label
_atom_site_type_symbol
_atom_site_fract_x
_atom_site_fract_y
_atom_site_fract_z
Na1 Na 0.0000 0.0000 0.0000
Na2 Na 0.0000 0.5000 0.0000
Ti1 Ti 0.0000 0.0000 0.5000
Cr1 Cr 0.0000 0.5000 0.5000
O1 O 0.0000 0.0000 0.2324
O2 O 0.0017 0.5008 0.7664